#A
First-principles (PBE-GGA) data for a relaxed CuSiWAu crystal, as listed in OQMD via LeMat-Bulk.

Output
- Total moment: 0.0261 μB/atom

Cell lengths 6.2168, 6.2168, 6.2168 Å; angles 90.00, 90.00, 90.00 degrees
Space group F-43m (No. 216)
Asymmetric unit:
Cu  0.0000  0.0000  0.0000 x4
Si  0.2500  0.2500  0.7500 x4
W  0.0000  0.0000  0.5000 x4
Au  0.2500  0.2500  0.2500 x4

#B
First-principles (PBE-GGA) data for a relaxed CuSiWAu crystal, as listed in OQMD via LeMat-Bulk.

Output
- Total moment: 0.4041 μB/atom

Cell lengths 6.2829, 6.2829, 6.2829 Å; angles 90.00, 90.00, 90.00 degrees
Space group F-43m (No. 216)
Asymmetric unit:
Cu  0.0000  0.0000  0.0000 x4
Si  0.2500  0.2500  0.7500 x4
W  0.2500  0.2500  0.2500 x4
Au  0.0000  0.0000  0.5000 x4

Most stable pick: #A. Distance to second place: 377 meV/atom.

#A
First-principles (PBE-GGA) data for a relaxed ZrCuSiAu crystal, as listed in OQMD via LeMat-Bulk.

Output
- Total moment: 0.0004 μB/atom

Cell lengths 6.4668, 6.4668, 6.4668 Å; angles 90.00, 90.00, 90.00 degrees
Space group F-43m (No. 216)
Asymmetric unit:
Zr  0.0000  0.0000  0.0000 x4
Cu  0.2500  0.2500  0.7500 x4
Si  0.0000  0.0000  0.5000 x4
Au  0.2500  0.2500  0.2500 x4

#B
First-principles (PBE-GGA) data for a relaxed ZrCuSiAu crystal, as listed in OQMD via LeMat-Bulk.

Output
- Total moment: 0.0006 μB/atom

Cell lengths 6.4502, 6.4502, 6.4502 Å; angles 90.00, 90.00, 90.00 degrees
Space group F-43m (No. 216)
Asymmetric unit:
Zr  0.0000  0.0000  0.0000 x4
Cu  0.0000  0.0000  0.5000 x4
Si  0.2500  0.2500  0.2500 x4
Au  0.2500  0.2500  0.7500 x4

Most stable pick: #B. Distance to second place: 117 meV/atom.

#A
First-principles (PBE-GGA) data for a relaxed TaCuSnAu crystal, as listed in OQMD via LeMat-Bulk.

Output
- Total moment: 0.2352 μB/atom

Cell lengths 6.5932, 6.5932, 6.5932 Å; angles 90.00, 90.00, 90.00 degrees
Space group F-43m (No. 216)
Asymmetric unit:
Ta  0.0000  0.0000  0.0000 x4
Cu  0.2500  0.2500  0.7500 x4
Sn  0.0000  0.0000  0.5000 x4
Au  0.2500  0.2500  0.2500 x4

#B
First-principles (PBE-GGA) data for a relaxed TaCuSnAu crystal, as listed in OQMD via LeMat-Bulk.

Output
- Total moment: 0.1605 μB/atom

Cell lengths 6.5974, 6.5974, 6.5974 Å; angles 90.00, 90.00, 90.00 degrees
Space group F-43m (No. 216)
Asymmetric unit:
Ta  0.0000  0.0000  0.0000 x4
Cu  0.0000  0.0000  0.5000 x4
Sn  0.2500  0.2500  0.2500 x4
Au  0.2500  0.2500  0.7500 x4

Most stable pick: #B. Distance to second place: 105 meV/atom.

#A
First-principles (PBE-GGA) data for a relaxed TaTlCuAu crystal, as listed in OQMD via LeMat-Bulk.

Output
- Total moment: 0.0024 μB/atom

Cell lengths 6.6070, 6.6070, 6.6070 Å; angles 90.00, 90.00, 90.00 degrees
Space group F-43m (No. 216)
Asymmetric unit:
Ta  0.0000  0.0000  0.0000 x4
Tl  0.0000  0.0000  0.5000 x4
Cu  0.2500  0.2500  0.7500 x4
Au  0.2500  0.2500  0.2500 x4

#B
First-principles (PBE-GGA) data for a relaxed TaTlCuAu crystal, as listed in OQMD via LeMat-Bulk.

Output
- Total moment: 0.0008 μB/atom

Cell lengths 6.6138, 6.6138, 6.6138 Å; angles 90.00, 90.00, 90.00 degrees
Space group F-43m (No. 216)
Asymmetric unit:
Ta  0.0000  0.0000  0.0000 x4
Tl  0.2500  0.2500  0.2500 x4
Cu  0.0000  0.0000  0.5000 x4
Au  0.2500  0.2500  0.7500 x4

Most stable pick: #B. Distance to second place: 41 meV/atom.